Entry from Alexandria: a relaxed CuNiB2 crystal (PBE).

Values from the calculation:
energy relative to the lowest polymorph listed for this composition	0	meV/atom
ΔE_f	0.4517	eV per atom
symmetry	No. 225

Lattice parameters (Å, degrees): 5.1107 5.1107 5.1107 90.00 90.00 90.00
Closest atoms and distances in Å follow each position.
Positions (direct):
Cu1 0.0000 0.0000 0.0000  8 B 2.21
Cu2 0.0000 0.5000 0.5000  8 B 2.21
Cu3 0.5000 0.0000 0.5000  8 B 2.21
Cu4 0.5000 0.5000 0.0000  8 B 2.21
Ni1 0.0000 0.0000 0.5000  8 B 2.21
Ni2 0.0000 0.5000 0.0000  8 B 2.21
Ni3 0.5000 0.0000 0.0000  8 B 2.21
Ni4 0.5000 0.5000 0.5000  8 B 2.21
B1 0.2500 0.2500 0.2500  4 Ni 2.21, 4 Cu 2.21
B2 0.2500 0.2500 0.7500  4 Ni 2.21, 4 Cu 2.21
B3 0.2500 0.7500 0.2500  4 Ni 2.21, 4 Cu 2.21
B4 0.2500 0.7500 0.7500  4 Ni 2.21, 4 Cu 2.21
B5 0.7500 0.2500 0.2500  4 Ni 2.21, 4 Cu 2.21
B6 0.7500 0.2500 0.7500  4 Ni 2.21, 4 Cu 2.21
B7 0.7500 0.7500 0.2500  4 Ni 2.21, 4 Cu 2.21
B8 0.7500 0.7500 0.7500  4 Ni 2.21, 4 Cu 2.21

=====

Entry from Alexandria: a relaxed Cs2PbS crystal (PBE).

Values from the calculation:
formation energy (no corrections)	-23	kJ/mol of atoms
energy relative to the lowest polymorph listed for this composition	130	meV/atom
symmetry	No. 166

Lattice parameters (Å, degrees): 4.2951 4.2951 37.3382 90.00 90.00 120.00
Closest atoms and distances in Å follow each position.
Positions (direct):
Cs1 0.0000 0.0000 0.1108  3 S 3.24
Cs2 0.0000 0.0000 0.8892  3 S 3.24
Cs3 0.3333 0.6667 0.5559  3 S 3.24
Cs4 0.3333 0.6667 0.7774  3 S 3.24
Cs5 0.6667 0.3333 0.2226  3 S 3.24
Cs6 0.6667 0.3333 0.4441  3 S 3.24
Pb1 0.0000 0.0000 0.0000  2 Cs 4.14, 6 Pb 4.30
Pb2 0.3333 0.6667 0.6667  2 Cs 4.14, 6 Pb 4.30
Pb3 0.6667 0.3333 0.3333  2 Cs 4.14, 6 Pb 4.30
S1 0.0000 0.0000 0.5000  6 Cs 3.24
S2 0.3333 0.6667 0.1667  6 Cs 3.24
S3 0.6667 0.3333 0.8333  6 Cs 3.24

=====

Entry from Alexandria: a relaxed Rb2TlIn4Ga3 crystal (PBE).

Values from the calculation:
ΔE_f	-0.0868	eV per atom
symmetry	No. 115

Lattice parameters (Å, degrees): 4.9504 4.9504 12.1319 90.00 90.00 90.00
Closest atoms and distances in Å follow each position.
Positions (direct):
Rb1 0.0000 0.5000 0.2466  8 In 3.76-3.88, 6 Ga 3.78-3.95, 2 Tl 3.95
Rb2 0.5000 0.0000 0.7534  8 In 3.76-3.88, 6 Ga 3.78-3.95, 2 Tl 3.95
Tl1 0.0000 0.0000 0.5000  4 In 3.01
In1 0.0000 0.0000 0.0000  4 Ga 2.92
In2 0.0000 0.5000 0.6411  3 Ga 2.80-3.01, 2 Tl 3.01
In3 0.5000 0.0000 0.3589  3 Ga 2.80-3.01, 2 Tl 3.01
In4 0.5000 0.5000 0.0000  4 Ga 2.92
Ga1 0.0000 0.5000 0.8717  5 In 2.80-2.92
Ga2 0.5000 0.0000 0.1283  5 In 2.80-2.92
Ga3 0.5000 0.5000 0.5000  4 In 3.01

=====

Entry from Alexandria: a relaxed La4Nd8Y crystal (PBE).

Values from the calculation:
ΔE_f	0.3607	eV per atom
symmetry	No. 166

Lattice parameters (Å, degrees): 7.9302 7.9302 7.9302 97.29 97.29 97.29
Closest atoms and distances in Å follow each position.
Positions (direct):
La1 0.0000 0.0000 0.0000  2 Nd 2.83
La2 0.0000 0.5000 0.5000  6 Nd 3.45-3.62
La3 0.5000 0.0000 0.5000  6 Nd 3.45-3.62
La4 0.5000 0.5000 0.0000  6 Nd 3.45-3.62
Nd1 0.1634 0.1634 0.6678  3 La 3.41-3.45, 3 Nd 3.41-3.64
Nd2 0.1634 0.6678 0.1634  3 La 3.41-3.45, 3 Nd 3.41-3.64
Nd3 0.2386 0.2386 0.2386  1 La 2.83, 1 Y 3.10
Nd4 0.3322 0.8366 0.8366  3 La 3.41-3.45, 3 Nd 3.41-3.64
Nd5 0.6678 0.1634 0.1634  3 La 3.41-3.45, 3 Nd 3.41-3.64
Nd6 0.7614 0.7614 0.7614  1 La 2.83, 1 Y 3.10
Nd7 0.8366 0.3322 0.8366  3 La 3.41-3.45, 3 Nd 3.41-3.64
Nd8 0.8366 0.8366 0.3322  3 La 3.41-3.45, 3 Nd 3.41-3.64
Y1 0.5000 0.5000 0.5000  2 Nd 3.10

=====

Entry from Alexandria: a relaxed NbSbPdI2 crystal (PBE).

Values from the calculation:
formation energy (no corrections)	61	kJ/mol of atoms
energy relative to the lowest polymorph listed for this composition	0	meV/atom
symmetry	No. 123

Lattice parameters (Å, degrees): 5.5000 5.5000 5.4431 90.00 90.00 90.00
Closest atoms and distances in Å follow each position.
Positions (direct):
Nb1 0.0000 0.0000 0.0000  2 Sb 2.72, 4 I 2.75
Sb1 0.0000 0.0000 0.5000  2 Nb 2.72
Pd1 0.5000 0.5000 0.5000  8 I 3.87, 4 Sb 3.89
I1 0.0000 0.5000 0.0000  2 Nb 2.75
I2 0.5000 0.0000 0.0000  2 Nb 2.75

=====

Entry from Alexandria: a relaxed TaMn2Fe crystal (PBE).

Values from the calculation:
ΔE_f	0.1114	eV per atom
symmetry	No. 10

Lattice parameters (Å, degrees): 2.6374 4.1286 4.8344 90.00 98.97 90.00
Closest atoms and distances in Å follow each position.
Positions (direct):
Ta1 0.0000 0.0000 0.0000  2 Fe 2.57, 4 Mn 2.60, 2 Ta 2.64
Mn1 0.2624 0.5000 0.7286  4 Mn 2.42-2.71, 2 Fe 2.47, 2 Ta 2.60
Mn2 0.7376 0.5000 0.2714  4 Mn 2.42-2.71, 2 Fe 2.47, 2 Ta 2.60
Fe1 0.5000 0.0000 0.5000  4 Mn 2.47, 2 Ta 2.57, 2 Fe 2.64

=====

Entry from Alexandria: a relaxed Ta2TlSiPd crystal (PBE).

Values from the calculation:
formation energy (no corrections)	227	kJ/mol of atoms
symmetry	No. 123

Lattice parameters (Å, degrees): 5.1636 5.1636 4.7417 90.00 90.00 90.00
Closest atoms and distances in Å follow each position.
Positions (direct):
Ta1 0.0000 0.5000 0.0000  2 Tl 2.58
Ta2 0.5000 0.0000 0.0000  2 Tl 2.58
Tl1 0.0000 0.0000 0.0000  2 Si 2.37, 4 Ta 2.58
Si1 0.0000 0.0000 0.5000  2 Tl 2.37
Pd1 0.5000 0.5000 0.5000  8 Ta 3.51, 4 Si 3.65

=====

Entry from Alexandria: a relaxed Ag2PRu crystal (PBE).

Values from the calculation:
energy relative to the lowest polymorph listed for this composition	838	meV/atom
ΔE_f	0.7915	eV per atom
symmetry	No. 225

Lattice parameters (Å, degrees): 6.3982 6.3982 6.3982 90.00 90.00 90.00
Closest atoms and distances in Å follow each position.
Positions (direct):
Ag1 0.2500 0.2500 0.2500  4 Ru 2.77, 4 P 2.77
Ag2 0.2500 0.2500 0.7500  4 Ru 2.77, 4 P 2.77
Ag3 0.2500 0.7500 0.2500  4 Ru 2.77, 4 P 2.77
Ag4 0.2500 0.7500 0.7500  4 Ru 2.77, 4 P 2.77
Ag5 0.7500 0.2500 0.2500  4 Ru 2.77, 4 P 2.77
Ag6 0.7500 0.2500 0.7500  4 Ru 2.77, 4 P 2.77
Ag7 0.7500 0.7500 0.2500  4 Ru 2.77, 4 P 2.77
Ag8 0.7500 0.7500 0.7500  4 Ru 2.77, 4 P 2.77
P1 0.0000 0.0000 0.0000  8 Ag 2.77
P2 0.0000 0.5000 0.5000  8 Ag 2.77
P3 0.5000 0.0000 0.5000  8 Ag 2.77
P4 0.5000 0.5000 0.0000  8 Ag 2.77
Ru1 0.0000 0.0000 0.5000  8 Ag 2.77
Ru2 0.0000 0.5000 0.0000  8 Ag 2.77
Ru3 0.5000 0.0000 0.0000  8 Ag 2.77
Ru4 0.5000 0.5000 0.5000  8 Ag 2.77

=====

E_tot across the listed records, respectively: -0.394, -0.193, -0.185, -0.337, -0.284, -0.702, -0.366, -0.316 Ry/atom.